--- P ---
A relaxed structure of TcIrNO. Source: OQMD, functional PBE.

a = 2.7834 Å, b = 6.0296 Å, c = 5.4528 Å
α = 90.00°, β = 90.00°, γ = 90.00°
Fractional coordinates of all 8 atoms:
Tc 0.0000 0.2170 0.0000
Tc 0.0000 0.7830 0.5000
Ir 0.5000 0.3798 0.3977
Ir 0.5000 0.6202 0.8977
N 0.5000 0.3186 0.7606
N 0.5000 0.6814 0.2606
O 0.0000 0.0801 0.3603
O 0.0000 0.9199 0.8603

Results
**Magnetization**: 0.000 μB/atom
**V**: 92 Å³/cell



--- Q ---
A relaxed structure of TcIrNO. Source: OQMD, functional PBE.

a = 3.7132 Å, b = 3.7132 Å, c = 6.3012 Å
α = 90.00°, β = 90.00°, γ = 90.00°
Fractional coordinates of all 8 atoms:
Tc 0.2500 0.2500 0.1615
Tc 0.7500 0.7500 0.8385
Ir 0.2500 0.7500 0.5000
Ir 0.7500 0.2500 0.5000
N 0.2500 0.2500 0.6820
N 0.7500 0.7500 0.3180
O 0.2500 0.7500 0.0000
O 0.7500 0.2500 0.0000

Results
**Magnetization**: 0.029 μB/atom
**V**: 87 Å³/cell



Of them, P has the highest stability.



--- P ---
A relaxed structure of TlIrNO. Source: OQMD, functional PBE.

a = 4.4629 Å, b = 4.4629 Å, c = 5.8817 Å
α = 90.00°, β = 90.00°, γ = 90.00°
Fractional coordinates of all 8 atoms:
Tl 0.2500 0.7500 0.0000
Tl 0.7500 0.2500 0.0000
Ir 0.2500 0.2500 0.4999
Ir 0.7500 0.7500 0.5001
N 0.2500 0.2500 0.1862
N 0.7500 0.7500 0.8138
O 0.2500 0.7500 0.5000
O 0.7500 0.2500 0.5000

Results
**Magnetization**: 0.001 μB/atom
**V**: 117 Å³/cell



--- Q ---
A relaxed structure of TlIrNO. Source: OQMD, functional PBE.

a = 3.7898 Å, b = 6.3136 Å, c = 5.7461 Å
α = 90.00°, β = 90.00°, γ = 90.00°
Fractional coordinates of all 8 atoms:
Tl 0.0000 0.1285 0.0000
Tl 0.0000 0.8715 0.5000
Ir 0.5000 0.4094 0.4519
Ir 0.5000 0.5906 0.9519
N 0.5000 0.3399 0.7706
N 0.5000 0.6601 0.2706
O 0.0000 0.3346 0.4026
O 0.0000 0.6654 0.9026

Results
**Magnetization**: 0.000 μB/atom
**V**: 137 Å³/cell



Of them, Q has the highest stability.



--- P ---
A relaxed structure of TlIrNO. Source: OQMD, functional PBE.

a = 5.2152 Å, b = 9.1633 Å, c = 5.0073 Å
α = 90.00°, β = 90.00°, γ = 90.00°
Fractional coordinates of all 16 atoms:
Tl 0.0079 0.1334 0.0000
Tl 0.4921 0.1334 0.5000
Tl 0.5079 0.8666 0.0000
Tl 0.9921 0.8666 0.5000
Ir 0.0292 0.5659 0.9908
Ir 0.4708 0.5659 0.4908
Ir 0.5292 0.4341 0.9908
Ir 0.9708 0.4341 0.4908
N 0.1096 0.6182 0.6104
N 0.3904 0.6182 0.1104
N 0.6096 0.3818 0.6104
N 0.8904 0.3818 0.1104
O 0.0492 0.2238 0.5431
O 0.4508 0.2238 0.0431
O 0.5492 0.7762 0.5431
O 0.9508 0.7762 0.0431

Results
**Magnetization**: 0.001 μB/atom
**V**: 239 Å³/cell



--- Q ---
A relaxed structure of TlIrNO. Source: OQMD, functional PBE.

a = 3.3261 Å, b = 6.2798 Å, c = 6.4099 Å
α = 90.00°, β = 90.00°, γ = 90.00°
Fractional coordinates of all 8 atoms:
Tl 0.0000 0.1145 0.0000
Tl 0.0000 0.8855 0.5000
Ir 0.5000 0.4353 0.5395
Ir 0.5000 0.5647 0.0395
N 0.0000 0.3199 0.6136
N 0.0000 0.6801 0.1136
O 0.5000 0.3221 0.2482
O 0.5000 0.6779 0.7482

Results
**Magnetization**: 0.001 μB/atom
**V**: 134 Å³/cell



--- R ---
A relaxed structure of TlIrNO. Source: OQMD, functional PBE.

a = 4.2686 Å, b = 4.2686 Å, c = 7.6846 Å
α = 90.00°, β = 90.00°, γ = 90.00°
Fractional coordinates of all 8 atoms:
Tl 0.2500 0.7500 0.0000
Tl 0.7500 0.2500 0.0000
Ir 0.2500 0.2500 0.4372
Ir 0.7500 0.7500 0.5628
N 0.2500 0.2500 0.2022
N 0.7500 0.7500 0.7978
O 0.2500 0.7500 0.5000
O 0.7500 0.2500 0.5000

Results
**Magnetization**: 0.026 μB/atom
**V**: 140 Å³/cell



Of them, P has the highest stability.



--- P ---
A relaxed structure of YIrNO. Source: OQMD, functional PBE.

a = 3.9351 Å, b = 3.9351 Å, c = 7.2731 Å
α = 90.00°, β = 90.00°, γ = 90.00°
Fractional coordinates of all 8 atoms:
Y 0.2500 0.2500 0.1479
Y 0.7500 0.7500 0.8521
Ir 0.2500 0.7500 0.5000
Ir 0.7500 0.2500 0.5000
N 0.2500 0.2500 0.6095
N 0.7500 0.7500 0.3905
O 0.2500 0.7500 0.0000
O 0.7500 0.2500 0.0000

Results
**Magnetization**: 0.000 μB/atom
**V**: 113 Å³/cell



--- Q ---
A relaxed structure of YIrNO. Source: OQMD, functional PBE.

a = 3.7859 Å, b = 5.5850 Å, c = 4.9670 Å
α = 90.00°, β = 90.00°, γ = 90.00°
Fractional coordinates of all 8 atoms:
Y 0.0000 0.2132 0.0000
Y 0.0000 0.7868 0.5000
Ir 0.5000 0.3583 0.4996
Ir 0.5000 0.6417 0.9996
N 0.0000 0.3338 0.4854
N 0.0000 0.6662 0.9854
O 0.5000 0.0710 0.7733
O 0.5000 0.9290 0.2733

Results
**Magnetization**: 0.000 μB/atom
**V**: 105 Å³/cell



--- R ---
A relaxed structure of YIrNO. Source: OQMD, functional PBE.

a = 4.9115 Å, b = 4.9115 Å, c = 4.2956 Å
α = 90.00°, β = 90.00°, γ = 90.00°
Fractional coordinates of all 8 atoms:
Y 0.2500 0.7500 0.0000
Y 0.7500 0.2500 0.0000
Ir 0.2500 0.2500 0.4967
Ir 0.7500 0.7500 0.5033
N 0.2500 0.2500 0.9964
N 0.7500 0.7500 0.0036
O 0.2500 0.7500 0.5000
O 0.7500 0.2500 0.5000

Results
**Magnetization**: 0.010 μB/atom
**V**: 104 Å³/cell



Of them, P has the highest stability.



--- P ---
A relaxed structure of ZnIrNO. Source: OQMD, functional PBE.

a = 3.5088 Å, b = 3.5088 Å, c = 7.0930 Å
α = 90.00°, β = 90.00°, γ = 90.00°
Fractional coordinates of all 8 atoms:
Zn 0.2500 0.7500 0.0000
Zn 0.7500 0.2500 0.0000
Ir 0.2500 0.2500 0.3297
Ir 0.7500 0.7500 0.6703
N 0.2500 0.2500 0.8171
N 0.7500 0.7500 0.1829
O 0.2500 0.7500 0.5000
O 0.7500 0.2500 0.5000

Results
**Magnetization**: 0.001 μB/atom
**V**: 87 Å³/cell



--- Q ---
A relaxed structure of ZnIrNO. Source: OQMD, functional PBE.

a = 2.7715 Å, b = 6.2787 Å, c = 5.6534 Å
α = 90.00°, β = 90.00°, γ = 90.00°
Fractional coordinates of all 8 atoms:
Zn 0.0000 0.2396 0.0000
Zn 0.0000 0.7604 0.5000
Ir 0.5000 0.2796 0.4041
Ir 0.5000 0.7204 0.9041
N 0.0000 0.0713 0.4534
N 0.0000 0.9287 0.9534
O 0.5000 0.4140 0.8375
O 0.5000 0.5860 0.3375

Results
**Magnetization**: 0.000 μB/atom
**V**: 98 Å³/cell



Of them, Q has the highest stability.



--- P ---
A relaxed structure of ZrIrNO. Source: OQMD, functional PBE.

a = 3.7174 Å, b = 3.7174 Å, c = 6.9724 Å
α = 90.00°, β = 90.00°, γ = 90.00°
Fractional coordinates of all 8 atoms:
Zr 0.2500 0.2500 0.1645
Zr 0.7500 0.7500 0.8355
Ir 0.2500 0.7500 0.5000
Ir 0.7500 0.2500 0.5000
N 0.2500 0.2500 0.6807
N 0.7500 0.7500 0.3193
O 0.2500 0.7500 0.0000
O 0.7500 0.2500 0.0000

Results
**Magnetization**: 0.001 μB/atom
**V**: 96 Å³/cell



--- Q ---
A relaxed structure of ZrIrNO. Source: OQMD, functional PBE.

a = 5.3204 Å, b = 7.3615 Å, c = 5.2050 Å
α = 90.00°, β = 90.00°, γ = 90.00°
Fractional coordinates of all 16 atoms:
Zr 0.0267 0.1560 0.0000
Zr 0.4733 0.1560 0.5000
Zr 0.5267 0.8440 0.0000
Zr 0.9733 0.8440 0.5000
Ir 0.0431 0.4549 0.6681
Ir 0.4569 0.4549 0.1681
Ir 0.5431 0.5451 0.6681
Ir 0.9569 0.5451 0.1681
N 0.1305 0.3285 0.3259
N 0.3695 0.3285 0.8259
N 0.6305 0.6715 0.3259
N 0.8695 0.6715 0.8259
O 0.2369 0.9725 0.7544
O 0.2631 0.9725 0.2544
O 0.7369 0.0275 0.7544
O 0.7631 0.0275 0.2544

Results
**Magnetization**: 0.000 μB/atom
**V**: 204 Å³/cell



Of them, Q has the highest stability.



--- P ---
A relaxed structure of ZrIrNO. Source: OQMD, functional PBE.

a = 4.6236 Å, b = 4.6236 Å, c = 4.3522 Å
α = 90.00°, β = 90.00°, γ = 90.00°
Fractional coordinates of all 8 atoms:
Zr 0.2500 0.7500 0.0000
Zr 0.7500 0.2500 0.0000
Ir 0.2500 0.2500 0.4300
Ir 0.7500 0.7500 0.5700
N 0.2500 0.2500 0.9303
N 0.7500 0.7500 0.0697
O 0.2500 0.7500 0.5000
O 0.7500 0.2500 0.5000

Results
**Magnetization**: 0.000 μB/atom
**V**: 93 Å³/cell



--- Q ---
A relaxed structure of ZrIrNO. Source: OQMD, functional PBE.

a = 3.0393 Å, b = 6.0332 Å, c = 5.7091 Å
α = 90.00°, β = 90.00°, γ = 90.00°
Fractional coordinates of all 8 atoms:
Zr 0.0000 0.1402 0.0000
Zr 0.0000 0.8598 0.5000
Ir 0.5000 0.2751 0.5999
Ir 0.5000 0.7249 0.0999
N 0.0000 0.1907 0.3769
N 0.0000 0.8093 0.8769
O 0.5000 0.3829 0.9471
O 0.5000 0.6171 0.4471

Results
**Magnetization**: 0.000 μB/atom
**V**: 105 Å³/cell



Of them, Q has the highest stability.



--- P ---
A relaxed structure of NaNbTlIr. Source: OQMD, functional PBE.

a = 6.6632 Å, b = 6.6632 Å, c = 6.6632 Å
α = 90.00°, β = 90.00°, γ = 90.00°
Fractional coordinates of all 16 atoms:
Na 0.0000 0.0000 0.0000
Na 0.0000 0.5000 0.5000
Na 0.5000 0.0000 0.5000
Na 0.5000 0.5000 0.0000
Nb 0.0000 0.0000 0.5000
Nb 0.0000 0.5000 0.0000
Nb 0.5000 0.0000 0.0000
Nb 0.5000 0.5000 0.5000
Tl 0.2500 0.2500 0.7500
Tl 0.2500 0.7500 0.2500
Tl 0.7500 0.2500 0.2500
Tl 0.7500 0.7500 0.7500
Ir 0.2500 0.2500 0.2500
Ir 0.2500 0.7500 0.7500
Ir 0.7500 0.2500 0.7500
Ir 0.7500 0.7500 0.2500

Results
**Magnetization**: 0.000 μB/atom
**V**: 296 Å³/cell



--- Q ---
A relaxed structure of NaNbTlIr. Source: OQMD, functional PBE.

a = 6.5757 Å, b = 6.5757 Å, c = 6.5757 Å
α = 90.00°, β = 90.00°, γ = 90.00°
Fractional coordinates of all 16 atoms:
Na 0.0000 0.0000 0.0000
Na 0.0000 0.5000 0.5000
Na 0.5000 0.0000 0.5000
Na 0.5000 0.5000 0.0000
Nb 0.2500 0.2500 0.2500
Nb 0.2500 0.7500 0.7500
Nb 0.7500 0.2500 0.7500
Nb 0.7500 0.7500 0.2500
Tl 0.2500 0.2500 0.7500
Tl 0.2500 0.7500 0.2500
Tl 0.7500 0.2500 0.2500
Tl 0.7500 0.7500 0.7500
Ir 0.0000 0.0000 0.5000
Ir 0.0000 0.5000 0.0000
Ir 0.5000 0.0000 0.0000
Ir 0.5000 0.5000 0.5000

Results
**Magnetization**: 0.000 μB/atom
**V**: 284 Å³/cell



Of them, Q has the highest stability.



--- P ---
A relaxed structure of NaNiIr. Source: OQMD, functional PBE.

a = 5.9044 Å, b = 5.9044 Å, c = 5.9044 Å
α = 90.00°, β = 90.00°, γ = 90.00°
Fractional coordinates of all 12 atoms:
Na 0.0000 0.0000 0.0000
Na 0.0000 0.5000 0.5000
Na 0.5000 0.0000 0.5000
Na 0.5000 0.5000 0.0000
Ni 0.2500 0.2500 0.2500
Ni 0.2500 0.7500 0.7500
Ni 0.7500 0.2500 0.7500
Ni 0.7500 0.7500 0.2500
Ir 0.2500 0.2500 0.7500
Ir 0.2500 0.7500 0.2500
Ir 0.7500 0.2500 0.2500
Ir 0.7500 0.7500 0.7500

Results
**Magnetization**: 0.404 μB/atom
**V**: 206 Å³/cell



--- Q ---
A relaxed structure of NaNiIr. Source: OQMD, functional PBE.

a = 5.8794 Å, b = 5.8794 Å, c = 5.8794 Å
α = 90.00°, β = 90.00°, γ = 90.00°
Fractional coordinates of all 12 atoms:
Na 0.0000 0.0000 0.0000
Na 0.0000 0.5000 0.5000
Na 0.5000 0.0000 0.5000
Na 0.5000 0.5000 0.0000
Ni 0.2500 0.2500 0.7500
Ni 0.2500 0.7500 0.2500
Ni 0.7500 0.2500 0.2500
Ni 0.7500 0.7500 0.7500
Ir 0.0000 0.0000 0.5000
Ir 0.0000 0.5000 0.0000
Ir 0.5000 0.0000 0.0000
Ir 0.5000 0.5000 0.5000

Results
**Magnetization**: 0.663 μB/atom
**V**: 203 Å³/cell



Of them, Q has the highest stability.



--- P ---
A relaxed structure of Na2Ir2O5. Source: OQMD, functional PBE.

a = 3.8463 Å, b = 3.8463 Å, c = 7.0559 Å
α = 90.00°, β = 90.00°, γ = 90.00°
Fractional coordinates of all 9 atoms:
Na 0.0000 0.0000 0.0000
Na 0.0000 0.0000 0.5000
Ir 0.5000 0.5000 0.2046
Ir 0.5000 0.5000 0.7954
O 0.0000 0.5000 0.2006
O 0.0000 0.5000 0.7994
O 0.5000 0.0000 0.2006
O 0.5000 0.0000 0.7994
O 0.5000 0.5000 0.5000

Results
**Magnetization**: 0.042 μB/atom
**V**: 104 Å³/cell



--- Q ---
A relaxed structure of Na2Ir2O5. Source: OQMD, functional PBE.

a = 4.9476 Å, b = 4.9670 Å, c = 5.8184 Å
α = 67.79°, β = 65.55°, γ = 68.32°
Fractional coordinates of all 9 atoms:
Na 0.0000 0.0000 0.0000
Na 0.2781 0.3090 0.1628
Ir 0.4963 0.4885 0.5570
Ir 0.8159 0.8090 0.5759
O 0.0615 0.4602 0.7688
O 0.2374 0.8142 0.3461
O 0.4249 0.7105 0.8014
O 0.6438 0.2027 0.3478
O 0.7034 0.1185 0.7640

Results
**Magnetization**: 0.000 μB/atom
**V**: 117 Å³/cell



--- R ---
A relaxed structure of Na2Ir2O5. Source: OQMD, functional PBE.

a = 3.2685 Å, b = 3.2685 Å, c = 10.1616 Å
α = 90.00°, β = 90.00°, γ = 90.00°
Fractional coordinates of all 9 atoms:
Na 0.0000 0.0000 0.2267
Na 0.0000 0.0000 0.7733
Ir 0.5000 0.5000 0.0000
Ir 0.5000 0.5000 0.5000
O 0.0000 0.0000 0.0000
O 0.0000 0.5000 0.3843
O 0.0000 0.5000 0.6157
O 0.5000 0.0000 0.3843
O 0.5000 0.0000 0.6157

Results
**Magnetization**: 0.140 μB/atom
**V**: 109 Å³/cell



Of them, Q has the highest stability.